# 1
Tb4SmIr4 | PBE-GGA | relaxed

Cell and atoms, written as POSCAR:
```
Tb4SmIr4
1.0
5.680 0.000 0.000
0.000 8.941 0.000
0.000 0.000 8.941
Tb Ir Sm
8 8 2
Cartesian
3.462 0.811 2.936 Tb
0.622 1.535 5.281 Tb
3.462 8.131 6.006 Tb
0.622 7.406 3.660 Tb
5.058 3.660 1.535 Tb
2.218 2.936 8.131 Tb
2.218 6.006 0.811 Tb
5.058 5.281 7.406 Tb
0.623 7.758 6.432 Ir
2.217 5.654 6.980 Ir
0.623 1.183 2.509 Ir
5.058 2.509 7.758 Ir
2.217 3.288 1.961 Ir
3.463 6.980 3.288 Ir
5.058 6.432 1.183 Ir
3.463 1.961 5.654 Ir
0.000 0.000 0.000 Sm
2.840 4.471 4.471 Sm
```

- total magnetization (μB per formula unit) = 0.0
- symmetry = P4_2/n
- energy (eV per atom) = -7.143



# 2
Y6RuI10 | PBE-GGA | relaxed

Cell and atoms, written as POSCAR:
```
Y6RuI10
1.0
-6.314 -4.186 -1.613
1.108 -0.922 9.610
-4.018 8.753 -1.591
Y I Ru
6 10 1
Cartesian
-3.732 6.136 -0.984 Y
-6.121 -3.586 1.005 Y
-6.503 3.764 6.044 Y
-2.721 -0.119 0.363 Y
-5.492 -2.490 7.391 Y
-3.103 7.231 5.402 Y
-2.343 -1.847 6.951 I
-5.852 0.767 6.726 I
-2.774 0.530 3.320 I
-6.881 5.493 -0.544 I
-3.221 4.115 5.752 I
-3.372 2.878 -0.319 I
-5.787 -2.825 4.275 I
-6.003 -0.469 0.655 I
-6.450 3.115 3.087 I
-3.437 6.471 2.132 I
0.000 0.000 0.000 Ru
```

- total magnetization (μB per formula unit) = 2.1
- symmetry = P-1
- E_form (uncorrected) (meV/atom) = -1198



# 3
ScU4S5 | PBE-GGA | relaxed

Cell and atoms, written as POSCAR:
```
ScU4S5
1.0
3.669 0.000 0.838
1.547 6.314 1.680
-0.022 -0.015 8.548
U Sc S
4 1 5
Cartesian
2.688 5.071 5.134 U
2.506 1.228 5.932 U
1.354 2.558 2.521 U
3.839 3.741 8.545 U
0.000 0.000 0.000 Sc
3.281 4.536 2.539 S
3.105 0.633 3.307 S
0.762 3.149 5.114 S
1.913 1.763 8.527 S
2.088 5.665 7.759 S
```

- total magnetization (μB per formula unit) = 8.9
- symmetry = C2/m
- E_form (uncorrected) (meV/atom) = -1467



# 4
TaCdSe2 | PBE-GGA | relaxed

Cell and atoms, written as POSCAR:
```
TaCdSe2
1.0
6.989 0.127 -0.022
4.159 5.618 0.022
-4.884 -4.211 2.697
Ta Se Cd
1 2 1
Cartesian
3.839 -0.606 1.337 Ta
10.147 5.229 0.000 Se
6.575 3.388 0.000 Se
2.424 2.140 1.360 Cd
```

- total magnetization (μB per formula unit) = 0.0
- symmetry = Immm
- E_form (uncorrected) (meV/atom) = -204



# 5
NpBePIr | PBE-GGA | relaxed

Cell and atoms, written as POSCAR:
```
NpBePIr
1.0
3.952 0.000 0.000
0.000 3.952 0.000
0.000 0.000 8.397
Ir Np Be P
2 2 2 2
Cartesian
1.976 1.976 4.198 Ir
0.000 0.000 4.198 Ir
0.000 1.976 6.665 Np
1.976 0.000 1.731 Np
1.976 0.000 5.306 Be
0.000 1.976 3.091 Be
1.976 0.000 7.387 P
0.000 1.976 1.010 P
```

- total magnetization (μB per formula unit) = 3.2
- symmetry = P4/nmm
- energy (eV per atom) = -8.330



# 6
YMnP2 | PBE-GGA | relaxed

Cell and atoms, written as POSCAR:
```
YMnP2
1.0
-3.366 -4.168 -1.993
0.000 -4.589 -3.408
0.992 -2.249 3.030
Mn P Y
1 2 1
Cartesian
-0.658 -2.310 -0.878 Mn
-1.943 -8.077 -2.219 P
0.059 -0.451 0.276 P
-1.019 -5.671 -0.736 Y
```

- total magnetization (μB per formula unit) = 3.9
- symmetry = Cm
- distance to the lowest polymorph of the same formula (eV per atom) = 0.2119



# 7
TiBi3S | PBE-GGA | relaxed

Cell and atoms, written as POSCAR:
```
TiBi3S
1.0
5.330 0.000 0.000
0.000 5.330 0.000
0.000 0.000 5.330
Ti Bi S
1 3 1
Cartesian
0.000 0.000 0.000 Ti
2.665 0.000 0.000 Bi
0.000 2.665 0.000 Bi
0.000 0.000 2.665 Bi
2.665 2.665 2.665 S
```

- total magnetization (μB per formula unit) = 0.3
- symmetry = Pm-3m
- E_form (uncorrected) (meV/atom) = 359
- distance to the lowest polymorph of the same formula (eV per atom) = 0.0000



# 8
Ca3Ti4S8 | PBE-GGA | relaxed

Cell and atoms, written as POSCAR:
```
Ca3Ti4S8
1.0
2.290 -5.810 -3.427
4.710 -4.326 3.136
-1.541 -8.533 2.497
S Ti Ca
8 4 3
Cartesian
-0.974 -6.846 1.906 S
4.162 -9.565 -1.295 S
5.356 -8.833 1.944 S
6.433 -11.822 0.300 S
2.433 -12.034 1.823 S
3.026 -6.635 0.383 S
0.103 -9.835 0.262 S
1.297 -9.103 3.501 S
2.825 -5.481 -1.974 Ti
3.790 -16.186 2.261 Ti
1.669 -2.482 -0.055 Ti
4.174 -4.655 1.684 Ti
0.374 -7.171 -0.465 Ca
1.585 -6.429 2.817 Ca
2.729 -9.334 1.103 Ca
```

- total magnetization (μB per formula unit) = 0.1
- symmetry = C2/m
- E_form (uncorrected) (meV/atom) = -1578